Record 1
Compound: Sn2HgGe
Source: the Alexandria database
Functional: PBE
Structure: relaxed

Structure (POSCAR):
```
Sn2HgGe
1.0
4.107 0.000 0.000
-2.053 3.557 0.000
0.000 0.000 21.735
Sn Hg Ge
6 3 3
Cartesian
0.000 0.000 5.205
0.000 0.000 16.530
0.000 2.371 9.285
0.000 2.371 19.695
2.053 1.186 2.040
2.053 1.186 12.450
0.000 0.000 0.000
0.000 2.371 14.490
2.053 1.186 7.245
0.000 0.000 10.868
0.000 2.371 3.623
2.053 1.186 18.113
```

Values from the calculation:
crystal system = trigonal
space-group type = R-3m
D(E_F) = 2.1 states/eV/f.u.
electronic total energy = -3.134 eV per atom
energy relative to the lowest polymorph listed for this composition = 0.0 kJ/mol of atoms



Record 2
Compound: Sn2HgGe
Source: the Alexandria database
Functional: PBE
Structure: relaxed

Structure (POSCAR):
```
Sn2HgGe
1.0
3.546 0.000 0.000
0.000 3.546 0.000
0.000 0.000 8.085
Sn Hg Ge
2 1 1
Cartesian
0.000 0.000 1.759
0.000 0.000 6.325
1.773 1.773 4.042
1.773 1.773 0.000
```

Values from the calculation:
crystal system = tetragonal
space-group type = P4/mmm
D(E_F) = 1.9 states/eV/f.u.
electronic total energy = -3.114 eV per atom
energy relative to the lowest polymorph listed for this composition = 2.0 kJ/mol of atoms



Record 3
Compound: Sn2HgGe
Source: the Alexandria database
Functional: PBE
Structure: relaxed

Structure (POSCAR):
```
Sn2HgGe
1.0
4.701 0.000 0.000
0.000 4.701 0.000
0.000 0.000 4.525
Sn Hg Ge
2 1 1
Cartesian
0.000 2.351 0.000
2.351 0.000 0.000
0.000 0.000 2.263
2.351 2.351 2.263
```

Values from the calculation:
crystal system = tetragonal
space-group type = P4/mmm
D(E_F) = 1.2 states/eV/f.u.
electronic total energy = -3.067 eV per atom
energy relative to the lowest polymorph listed for this composition = 6.5 kJ/mol of atoms



Record 4
Compound: SnHg2Ge
Source: the Alexandria database
Functional: PBE
Structure: relaxed

Structure (POSCAR):
```
SnHg2Ge
1.0
8.140 0.000 0.000
0.000 8.140 0.000
0.000 0.000 6.064
Sn Hg Ge
4 8 4
Cartesian
0.000 0.000 0.000
0.000 4.070 1.516
4.070 0.000 4.548
4.070 4.070 3.032
1.866 2.035 3.790
2.035 5.936 5.306
2.035 6.274 2.274
2.204 2.035 0.758
5.936 6.105 0.758
6.105 1.866 2.274
6.105 2.204 5.306
6.274 6.105 3.790
0.000 0.000 3.032
0.000 4.070 4.548
4.070 0.000 1.516
4.070 4.070 0.000
```

Values from the calculation:
crystal system = tetragonal
space-group type = I-42d
D(E_F) = 2.1 states/eV/f.u.
electronic total energy = -2.114 eV per atom



Record 5
Compound: Sn2HgGe
Source: the Alexandria database
Functional: PBE
Structure: relaxed

Structure (POSCAR):
```
Sn2HgGe
1.0
6.597 0.000 0.000
0.000 6.597 0.000
0.000 0.000 12.021
Sn Hg Ge
8 4 4
Cartesian
1.512 1.649 1.503
1.649 4.811 4.508
1.649 5.086 10.518
1.787 1.649 7.513
4.811 4.948 7.513
4.948 1.512 10.518
4.948 1.787 4.508
5.086 4.948 1.503
0.000 0.000 6.010
0.000 3.299 9.015
3.299 0.000 3.005
3.299 3.299 0.000
0.000 0.000 0.000
0.000 3.299 3.005
3.299 0.000 9.015
3.299 3.299 6.010
```

Values from the calculation:
crystal system = tetragonal
space-group type = I-42d
D(E_F) = 1.1 states/eV/f.u.
electronic total energy = -3.052 eV per atom
energy relative to the lowest polymorph listed for this composition = 7.9 kJ/mol of atoms



Record 6
Compound: SnHgGe
Source: the Alexandria database
Functional: PBE
Structure: relaxed

Structure (POSCAR):
```
SnHgGe
1.0
3.296 0.000 0.000
-1.648 2.854 0.000
0.000 0.000 7.746
Sn Hg Ge
1 1 1
Cartesian
0.000 0.000 0.000
0.000 1.903 4.960
1.648 0.951 2.471
```

Values from the calculation:
crystal system = trigonal
space-group type = P3m1
D(E_F) = 1.5 states/eV/f.u.
electronic total energy = -2.768 eV per atom
energy relative to the lowest polymorph listed for this composition = 2.8 kJ/mol of atoms



Record 7
Compound: Sn2HgGe
Source: the Alexandria database
Functional: PBE
Structure: relaxed

Structure (POSCAR):
```
Sn2HgGe
1.0
7.352 0.000 0.000
0.000 7.352 0.000
0.000 0.000 7.352
Sn Hg Ge
8 4 4
Cartesian
1.838 1.838 1.838
1.838 1.838 5.514
1.838 5.514 1.838
1.838 5.514 5.514
5.514 1.838 1.838
5.514 1.838 5.514
5.514 5.514 1.838
5.514 5.514 5.514
0.000 0.000 0.000
0.000 3.676 3.676
3.676 0.000 3.676
3.676 3.676 0.000
0.000 0.000 3.676
0.000 3.676 0.000
3.676 0.000 0.000
3.676 3.676 3.676
```

Values from the calculation:
crystal system = cubic
space-group type = Fm-3m
D(E_F) = 1.8 states/eV/f.u.
electronic total energy = -3.079 eV per atom
energy relative to the lowest polymorph listed for this composition = 5.3 kJ/mol of atoms



Record 8
Compound: SnHg2Ge
Source: the Alexandria database
Functional: PBE
Structure: relaxed

Structure (POSCAR):
```
SnHg2Ge
1.0
4.678 0.000 0.000
0.000 4.678 0.000
0.000 0.000 4.400
Sn Hg Ge
1 2 1
Cartesian
0.000 0.000 0.000
0.000 2.339 2.200
2.339 0.000 2.200
2.339 2.339 0.000
```

Values from the calculation:
crystal system = tetragonal
space-group type = P4/mmm
D(E_F) = 2.1 states/eV/f.u.
electronic total energy = -2.096 eV per atom